{"formula": "Li5Tl2Ag2", "functional": "GGA-PBE", "state": "optimized geometry", "energy_ry_per_atom": -0.173, "formation_enthalpy_0k_ev_per_atom": -0.13, "total_magnetization_mub_per_fu": 0.000, "spacegroup": "Cmce", "e_above_lowest_polymorph_mev_per_atom": 43.2, "cell": [[6.787, 0.000, 0.000], [0.000, 6.865, 0.000], [0.000, -3.432, 7.612]], "species": ["Li", "Li", "Li", "Li", "Li", "Li", "Li", "Li", "Li", "Li", "Tl", "Tl", "Tl", "Tl", "Ag", "Ag", "Ag", "Ag"], "frac_coords": [[0.166, 0.210, 0.752], [0.334, 0.958, 0.248], [0.666, 0.042, 0.752], [0.834, 0.542, 0.752], [0.334, 0.710, 0.752], [0.834, 0.790, 0.248], [0.500, 0.500, 0.000], [0.166, 0.458, 0.248], [0.666, 0.290, 0.248], [0.000, 0.000, 0.000], [0.000, 0.782, 0.564], [0.500, 0.282, 0.564], [0.000, 0.218, 0.436], [0.500, 0.718, 0.436], [0.360, 0.142, 0.000], [0.140, 0.642, 0.000], [0.860, 0.358, 0.000], [0.640, 0.858, 0.000]]}



{"formula": "TiAg3O", "functional": "GGA-PBE", "state": "optimized geometry", "energy_ry_per_atom": -0.195, "total_magnetization_mub_per_fu": 0.001, "spacegroup": "Pm-3m", "raw_formation_energy_ev_per_atom": 1.63, "e_above_lowest_polymorph_mev_per_atom": 1144.4, "cell": [[5.012, 0.000, 0.000], [0.000, 5.012, 0.000], [0.000, 0.000, 5.012]], "species": ["Ag", "Ag", "Ag", "O", "Ti"], "frac_coords": [[0.000, 0.500, 0.000], [0.500, 0.000, 0.000], [0.000, 0.000, 0.500], [0.500, 0.500, 0.500], [0.000, 0.000, 0.000]]}



{"formula": "CeNdTh4", "functional": "GGA-PBE", "state": "optimized geometry", "energy_ry_per_atom": -0.492, "formation_enthalpy_0k_ev_per_atom": 0.03, "total_magnetization_mub_per_fu": 0.000, "spacegroup": "P4/mmm", "cell": [[3.561, 0.000, 0.000], [0.000, 3.561, 0.000], [0.000, 0.000, 15.064]], "species": ["Th", "Th", "Th", "Th", "Ce", "Nd"], "frac_coords": [[0.000, 0.000, 0.341], [0.500, 0.500, 0.177], [0.000, 0.000, 0.659], [0.500, 0.500, 0.823], [0.500, 0.500, 0.500], [0.000, 0.000, 0.000]]}



{"formula": "CrMo4Cl", "functional": "GGA-PBE", "state": "optimized geometry", "energy_ry_per_atom": -0.602, "total_magnetization_mub_per_fu": 2.625, "spacegroup": "F-43m", "raw_formation_energy_ev_per_atom": 0.95, "cell": [[0.000, 3.725, 3.725], [3.725, 0.000, 3.725], [3.725, 3.725, 0.000]], "species": ["Cl", "Mo", "Mo", "Mo", "Mo", "Cr"], "frac_coords": [[0.750, 0.750, 0.750], [0.376, 0.376, 0.376], [0.873, 0.376, 0.376], [0.376, 0.873, 0.376], [0.376, 0.376, 0.873], [0.000, 0.000, 0.000]]}



{"formula": "Hf6BeC3", "functional": "GGA-PBE", "state": "optimized geometry", "energy_ry_per_atom": -0.709, "formation_enthalpy_0k_ev_per_atom": -0.54, "total_magnetization_mub_per_fu": 0.000, "spacegroup": "P2_1/m", "cell": [[-1.661, 2.770, -0.819], [-5.073, -5.220, -7.372], [-4.301, 0.090, 9.024]], "species": ["Hf", "Hf", "Hf", "Hf", "Hf", "Hf", "Hf", "Hf", "Hf", "Hf", "Hf", "Hf", "C", "C", "C", "C", "C", "C", "Be", "Be"], "frac_coords": [[0.250, 0.073, 0.924], [0.750, 0.101, 0.451], [0.750, 0.387, 0.056], [0.250, 0.613, 0.944], [0.250, 0.280, 0.749], [0.750, 0.927, 0.076], [0.750, 0.769, 0.732], [0.750, 0.720, 0.251], [0.250, 0.570, 0.401], [0.250, 0.231, 0.268], [0.750, 0.430, 0.599], [0.250, 0.899, 0.549], [0.750, 0.158, 0.095], [0.750, 0.447, 0.841], [0.250, 0.842, 0.905], [0.250, 0.268, 0.518], [0.750, 0.732, 0.482], [0.250, 0.553, 0.159], [0.250, 0.919, 0.271], [0.750, 0.081, 0.729]]}



{"formula": "Ba2CuRhBr", "functional": "GGA-PBE", "state": "optimized geometry", "energy_ry_per_atom": -0.291, "total_magnetization_mub_per_fu": 0.000, "spacegroup": "P4/mmm", "raw_formation_energy_ev_per_atom": -0.56, "cell": [[5.956, 0.000, 0.000], [0.000, 4.770, 0.000], [0.000, 0.000, 5.956]], "species": ["Ba", "Ba", "Rh", "Cu", "Br"], "frac_coords": [[0.500, 0.000, 0.000], [0.000, 0.000, 0.500], [0.000, 0.000, 0.000], [0.000, 0.500, 0.000], [0.500, 0.500, 0.500]]}



{"formula": "BaAsSN2", "functional": "GGA-PBE", "state": "optimized geometry", "energy_ry_per_atom": -0.261, "total_magnetization_mub_per_fu": 0.022, "spacegroup": "P4/mmm", "raw_formation_energy_ev_per_atom": 1.92, "e_above_lowest_polymorph_mev_per_atom": 1539.2, "cell": [[4.328, 0.000, 0.000], [0.000, 4.328, 0.000], [0.000, 0.000, 6.202]], "species": ["S", "N", "N", "As", "Ba"], "frac_coords": [[0.000, 0.000, 0.500], [0.000, 0.500, 0.000], [0.500, 0.000, 0.000], [0.500, 0.500, 0.500], [0.000, 0.000, 0.000]]}



{"formula": "Nd5HgRh2", "functional": "GGA-PBE", "state": "optimized geometry", "energy_ry_per_atom": -0.378, "formation_enthalpy_0k_ev_per_atom": -0.29, "total_magnetization_mub_per_fu": 0.000, "spacegroup": "Cmcm", "e_above_lowest_polymorph_mev_per_atom": 232.6, "cell": [[-1.559, 3.329, -4.541], [0.418, -6.958, -1.486], [-13.929, -1.606, 3.605]], "species": ["Nd", "Nd", "Nd", "Nd", "Nd", "Nd", "Nd", "Nd", "Nd", "Nd", "Hg", "Hg", "Rh", "Rh", "Rh", "Rh"], "frac_coords": [[0.947, 0.894, 0.887], [0.053, 0.106, 0.387], [0.659, 0.317, 0.549], [0.947, 0.894, 0.613], [0.781, 0.563, 0.250], [0.341, 0.683, 0.451], [0.219, 0.437, 0.750], [0.053, 0.106, 0.113], [0.341, 0.683, 0.049], [0.659, 0.317, 0.951], [0.762, 0.525, 0.750], [0.238, 0.475, 0.250], [0.152, 0.303, 0.943], [0.848, 0.697, 0.057], [0.848, 0.697, 0.443], [0.152, 0.303, 0.557]]}



{"formula": "Th4Ga6Ir7", "functional": "GGA-PBE", "state": "optimized geometry", "energy_ry_per_atom": -0.535, "formation_enthalpy_0k_ev_per_atom": -0.81, "total_magnetization_mub_per_fu": 0.000, "spacegroup": "Im-3m", "cell": [[7.035, 0.000, -2.487], [-3.517, 6.092, -2.487], [0.000, 0.000, 7.462]], "species": ["Ga", "Ga", "Ga", "Ga", "Ga", "Ga", "Th", "Th", "Th", "Th", "Ir", "Ir", "Ir", "Ir", "Ir", "Ir", "Ir"], "frac_coords": [[0.321, 0.000, 0.321], [0.000, 0.321, 0.321], [0.679, 0.000, 0.679], [0.321, 0.321, 0.000], [0.679, 0.679, 0.000], [0.000, 0.679, 0.679], [0.500, 0.500, 0.500], [0.000, 0.000, 0.500], [0.000, 0.500, 0.000], [0.500, 0.000, 0.000], [0.500, 0.250, 0.750], [0.250, 0.750, 0.500], [0.250, 0.500, 0.750], [0.750, 0.500, 0.250], [0.500, 0.750, 0.250], [0.000, 0.000, 0.000], [0.750, 0.250, 0.500]]}



{"formula": "Ce2AlTc2", "functional": "GGA-PBE", "state": "optimized geometry", "energy_ry_per_atom": -0.555, "formation_enthalpy_0k_ev_per_atom": -0.28, "total_magnetization_mub_per_fu": 0.000, "spacegroup": "C2/c", "cell": [[5.766, 0.539, 0.345], [3.086, 4.900, 0.345], [1.816, 1.116, 8.054]], "species": ["Tc", "Tc", "Tc", "Tc", "Ce", "Ce", "Ce", "Ce", "Al", "Al"], "frac_coords": [[0.966, 0.304, 0.962], [0.304, 0.966, 0.462], [0.034, 0.696, 0.038], [0.696, 0.034, 0.538], [0.766, 0.538, 0.368], [0.462, 0.234, 0.132], [0.538, 0.766, 0.868], [0.234, 0.462, 0.632], [0.920, 0.080, 0.750], [0.080, 0.920, 0.250]]}



{"formula": "KLi2Si", "functional": "GGA-PBE", "state": "optimized geometry", "energy_ry_per_atom": -0.180, "total_magnetization_mub_per_fu": 0.000, "spacegroup": "Pmm2", "raw_formation_energy_ev_per_atom": 0.14, "cell": [[-0.771, 1.779, 2.173], [2.724, -1.971, 2.580], [5.863, 5.224, -2.198]], "species": ["K", "Li", "Li", "Si"], "frac_coords": [[0.500, 0.500, 0.698], [0.500, 0.500, 0.303], [0.000, 0.000, 0.092], [0.000, 0.000, 0.407]]}



{"formula": "Li4Be3P3IO12", "functional": "GGA-PBE", "state": "optimized geometry", "energy_ry_per_atom": -0.485, "total_magnetization_mub_per_fu": 0.197, "spacegroup": "P-43n", "raw_formation_energy_ev_per_atom": -2.42, "cell": [[-6.138, 1.540, -5.285], [1.304, -7.284, -3.637], [-5.348, -3.544, 5.179]], "species": ["O", "O", "O", "O", "O", "O", "O", "O", "O", "O", "O", "O", "O", "O", "O", "O", "O", "O", "O", "O", "O", "O", "O", "O", "P", "P", "P", "P", "P", "P", "Be", "Be", "Be", "Be", "Be", "Be", "Li", "Li", "Li", "Li", "Li", "Li", "Li", "Li", "I", "I"], "frac_coords": [[0.354, 0.362, 0.926], [0.426, 0.862, 0.854], [0.854, 0.574, 0.138], [0.638, 0.074, 0.354], [0.074, 0.646, 0.362], [0.362, 0.926, 0.354], [0.646, 0.638, 0.926], [0.862, 0.854, 0.426], [0.362, 0.074, 0.646], [0.854, 0.426, 0.862], [0.646, 0.362, 0.074], [0.862, 0.146, 0.574], [0.146, 0.426, 0.138], [0.426, 0.138, 0.146], [0.138, 0.146, 0.426], [0.074, 0.354, 0.638], [0.926, 0.354, 0.362], [0.146, 0.574, 0.862], [0.574, 0.862, 0.146], [0.638, 0.926, 0.646], [0.138, 0.854, 0.574], [0.574, 0.138, 0.854], [0.926, 0.646, 0.638], [0.354, 0.638, 0.074], [0.000, 0.750, 0.500], [0.500, 0.000, 0.250], [0.250, 0.500, 0.000], [0.750, 0.500, 0.000], [0.000, 0.250, 0.500], [0.500, 0.000, 0.750], [0.000, 0.500, 0.750], [0.500, 0.250, 0.000], [0.000, 0.500, 0.250], [0.500, 0.750, 0.000], [0.250, 0.000, 0.500], [0.750, 0.000, 0.500], [0.306, 0.694, 0.306], [0.694, 0.306, 0.306], [0.806, 0.194, 0.806], [0.694, 0.694, 0.694], [0.306, 0.306, 0.694], [0.806, 0.806, 0.194], [0.194, 0.806, 0.806], [0.194, 0.194, 0.194], [0.000, 0.000, 0.000], [0.500, 0.500, 0.500]]}



{"formula": "Ru2W", "functional": "GGA-PBE", "state": "optimized geometry", "energy_ry_per_atom": -0.770, "formation_enthalpy_0k_ev_per_atom": 0.03, "total_magnetization_mub_per_fu": 0.000, "spacegroup": "P-62m", "cell": [[7.468, 0.000, 0.000], [-3.734, 6.467, 0.000], [0.000, 0.000, 2.760]], "species": ["Ru", "Ru", "Ru", "Ru", "Ru", "Ru", "W", "W", "W"], "frac_coords": [[0.000, 0.304, 0.000], [0.304, 0.000, 0.000], [0.000, 0.639, 0.500], [0.639, 0.000, 0.500], [0.361, 0.361, 0.500], [0.696, 0.696, 0.000], [0.667, 0.333, 0.000], [0.000, 0.000, 0.500], [0.333, 0.667, 0.000]]}



{"formula": "Tb5NiRh4", "functional": "GGA-PBE", "state": "optimized geometry", "energy_ry_per_atom": -0.484, "formation_enthalpy_0k_ev_per_atom": -0.75, "total_magnetization_mub_per_fu": 0.000, "spacegroup": "P4/mmm", "cell": [[3.414, 0.000, 0.000], [0.000, 3.414, 0.000], [0.000, 0.000, 17.414]], "species": ["Tb", "Tb", "Tb", "Tb", "Tb", "Rh", "Rh", "Rh", "Rh", "Ni"], "frac_coords": [[0.500, 0.500, 0.901], [0.500, 0.500, 0.500], [0.500, 0.500, 0.701], [0.500, 0.500, 0.299], [0.500, 0.500, 0.099], [0.000, 0.000, 0.399], [0.000, 0.000, 0.198], [0.000, 0.000, 0.601], [0.000, 0.000, 0.802], [0.000, 0.000, 0.000]]}



{"formula": "La2ReMo", "functional": "GGA-PBE", "state": "optimized geometry", "energy_ry_per_atom": -0.531, "formation_enthalpy_0k_ev_per_atom": 1.05, "total_magnetization_mub_per_fu": 1.307, "spacegroup": "I-42d", "e_above_lowest_polymorph_mev_per_atom": 875.4, "cell": [[-3.674, 3.385, 6.245], [-6.086, -5.126, -0.802], [-3.519, -2.773, 4.553]], "species": ["Re", "Re", "La", "La", "La", "La", "Mo", "Mo"], "frac_coords": [[0.000, 0.000, 0.000], [0.750, 0.250, 0.500], [0.875, 0.888, 0.750], [0.112, 0.625, 0.250], [0.375, 0.362, 0.750], [0.638, 0.125, 0.250], [0.250, 0.750, 0.500], [0.500, 0.500, 0.000]]}



{"formula": "ZnC4", "functional": "GGA-PBE", "state": "optimized geometry", "energy_ry_per_atom": -0.255, "formation_enthalpy_0k_ev_per_atom": 4.16, "total_magnetization_mub_per_fu": 0.000, "spacegroup": "Pm-3m", "e_above_lowest_polymorph_mev_per_atom": 2787.6, "cell": [[-0.625, 0.997, -3.724], [3.702, -0.901, -0.862], [-1.079, -3.667, -0.801]], "species": ["C", "C", "C", "C", "Zn"], "frac_coords": [[0.500, 0.000, 0.500], [0.000, 0.500, 0.500], [0.500, 0.500, 0.000], [0.000, 0.000, 0.000], [0.500, 0.500, 0.500]]}



{"formula": "USi2TcOs", "functional": "GGA-PBE", "state": "optimized geometry", "energy_ry_per_atom": -0.679, "total_magnetization_mub_per_fu": 1.636, "spacegroup": "I-4m2", "raw_formation_energy_ev_per_atom": -0.49, "cell": [[4.184, 0.000, 0.000], [0.000, 4.184, 0.000], [-2.092, -2.092, 4.781]], "species": ["Tc", "U", "Os", "Si", "Si"], "frac_coords": [[0.750, 0.250, 0.500], [0.000, 0.000, 0.000], [0.250, 0.750, 0.500], [0.625, 0.625, 0.250], [0.375, 0.375, 0.750]]}



{"formula": "AcCeTePb", "functional": "GGA-PBE", "state": "optimized geometry", "energy_ry_per_atom": -0.380, "total_magnetization_mub_per_fu": 0.812, "spacegroup": "R3m", "raw_formation_energy_ev_per_atom": -0.95, "e_above_lowest_polymorph_mev_per_atom": 0.0, "cell": [[4.699, 0.000, 0.000], [2.350, 4.070, 0.000], [2.350, 1.357, 7.609]], "species": ["Pb", "Te", "Ac", "Ce"], "frac_coords": [[0.938, 0.938, 0.186], [0.450, 0.450, 0.651], [0.692, 0.692, 0.923], [0.196, 0.196, 0.411]]}



{"formula": "HoHf2Al", "functional": "GGA-PBE", "state": "optimized geometry", "energy_ry_per_atom": -0.523, "formation_enthalpy_0k_ev_per_atom": -0.06, "total_magnetization_mub_per_fu": 0.001, "spacegroup": "P4/mmm", "e_above_lowest_polymorph_mev_per_atom": 68.3, "cell": [[-1.274, 1.132, 2.665], [-0.964, -2.911, 0.776], [7.726, -1.413, 4.293]], "species": ["Hf", "Hf", "Ho", "Al"], "frac_coords": [[0.000, 0.000, 0.783], [0.000, 0.000, 0.217], [0.500, 0.500, 0.500], [0.500, 0.500, 0.000]]}



{"formula": "Li3WN", "functional": "GGA-PBE", "state": "optimized geometry", "energy_ry_per_atom": -0.326, "total_magnetization_mub_per_fu": 0.000, "spacegroup": "Pm-3m", "raw_formation_energy_ev_per_atom": 0.97, "e_above_lowest_polymorph_mev_per_atom": 0.0, "cell": [[-0.336, -1.491, 3.530], [-2.094, -2.896, -1.423], [3.209, -2.046, -0.558]], "species": ["W", "Li", "Li", "Li", "N"], "frac_coords": [[0.500, 0.500, 0.500], [0.000, 0.500, 0.000], [0.500, 0.000, 0.000], [0.000, 0.000, 0.500], [0.000, 0.000, 0.000]]}



{"formula": "SrAl2Ag6", "functional": "GGA-PBE", "state": "optimized geometry", "energy_ry_per_atom": -0.200, "formation_enthalpy_0k_ev_per_atom": 0.19, "total_magnetization_mub_per_fu": 0.000, "spacegroup": "Fd-3m", "e_above_lowest_polymorph_mev_per_atom": 318.0, "cell": [[-1.608, 6.846, -4.899], [-2.061, -1.027, -8.255], [-7.994, 1.590, -2.651]], "species": ["Sr", "Sr", "Ag", "Ag", "Ag", "Ag", "Ag", "Ag", "Ag", "Ag", "Ag", "Ag", "Ag", "Ag", "Al", "Al", "Al", "Al"], "frac_coords": [[0.750, 0.750, 0.750], [0.500, 0.500, 0.500], [0.238, 0.762, 0.762], [0.012, 0.012, 0.488], [0.012, 0.488, 0.488], [0.762, 0.238, 0.762], [0.012, 0.488, 0.012], [0.488, 0.012, 0.012], [0.762, 0.762, 0.238], [0.488, 0.488, 0.012], [0.238, 0.762, 0.238], [0.762, 0.238, 0.238], [0.488, 0.012, 0.488], [0.238, 0.238, 0.762], [0.125, 0.625, 0.125], [0.125, 0.125, 0.625], [0.625, 0.125, 0.125], [0.125, 0.125, 0.125]]}